CdInGa3 | PBE | relaxed

Lattice parameters (Å, degrees): 11.3575 5.2654 9.1644 90.00 127.18 90.00
Space group C2/m (No. 12)
Unique sites:
Cd 0.0028 0.0000 0.1852 [4 per cell]
In 0.1220 0.5000 0.4276 [4 per cell]
Ga 0.1262 0.5000 0.0185 [4 per cell]
Ga 0.1441 0.0000 0.6245 [4 per cell]
Ga 0.2223 0.5000 0.8133 [4 per cell]



Cd5InGa2 | PBE | relaxed

Lattice parameters (Å, degrees): 4.5419 4.5419 17.3730 90.00 90.00 90.00
Space group I4/mmm (No. 139)
Unique sites:
Cd 0.0000 0.0000 0.0000 [2 per cell]
Cd 0.0000 0.5000 0.1319 [8 per cell]
In 0.0000 0.0000 0.5000 [2 per cell]
Ga 0.0000 0.0000 0.2499 [4 per cell]



CdInGa3 | PBE | relaxed

Lattice parameters (Å, degrees): 5.5273 15.7594 5.2375 90.00 90.00 90.00
Space group Cmcm (No. 63)
Unique sites:
Cd 0.0000 0.0664 0.2500 [4 per cell]
In 0.0000 0.3084 0.7500 [4 per cell]
Ga 0.0000 0.5000 0.0000 [4 per cell]
Ga 0.2433 0.1391 0.7500 [8 per cell]



Cd2In5Ga4 | PBE | relaxed

Lattice parameters (Å, degrees): 22.2288 3.1039 7.9060 90.00 97.19 90.00
Space group C2/m (No. 12)
Unique sites:
Cd 0.2446 0.0000 0.1634 [4 per cell]
In 0.0000 0.0000 0.5000 [2 per cell]
In 0.1135 0.5000 0.8284 [4 per cell]
In 0.1764 0.5000 0.4838 [4 per cell]
Ga 0.0172 0.5000 0.1703 [4 per cell]
Ga 0.1180 0.0000 0.1736 [4 per cell]



| no. | energy of formation from the pure elements (eV per atom) |
| --- | --- |
| 1 | 0.053 |
| 2 | 0.040 |
| 3 | 0.075 |
| 4 | 0.071 |